No. 1
4
Lattice="-4.414 1.567 0.674 0.190 -0.682 2.831 3.308 3.928 0.725" Properties=species:S:1:pos:R:3 comment="PC, optimized geometry, DFT PBE-GGA" mass_density_kg_m3=2107 e_form_ev_per_atom=0.421 crystal_system=monoclinic e_above_lowest_polymorph_ev_per_atom=0.1081 pbc="T T T"
P -0.360 0.692 1.695
C -1.527 0.837 0.304
C 0.422 4.658 1.094
P -0.556 4.121 2.534

---

No. 2
9
Lattice="7.907 -0.038 0.000 -6.353 4.707 0.000 -0.777 -2.335 7.515" Properties=species:S:1:pos:R:3 comment="HgPb8, optimized geometry, DFT PBE-GGA" mass_density_kg_m3=11104 e_form_ev_per_atom=0.003 crystal_system=tetragonal pbc="T T T"
Pb 3.135 1.550 0.000
Pb -1.581 3.119 0.000
Pb 4.757 -1.583 5.014
Pb 0.000 0.000 5.029
Pb -2.373 0.790 2.501
Pb -4.757 1.583 5.014
Hg 0.000 0.000 0.000
Pb 0.777 2.335 2.485
Pb 2.373 -0.790 2.501